# 1
This record from Alexandria via LeMat-Bulk describes a relaxed CaPd2WAu crystal. The functional is PBE.

Results
* Fermi-level density of states: 0.828 states/eV/atom
* V: 24.3 Å³/atom
* uncorrected energy: -26.37 eV for the cell shown
* ΔH_f (0 K): 449 meV per atom

a = 4.883 Å, b = 4.883 Å, c = 5.092 Å
α = 90.00°, β = 90.00°, γ = 90.00°
Space group P4/mmm (No. 123)
Asymmetric unit:
Ca1 0.000 0.000 0.000 x1
Pd1 0.000 0.500 0.500 x2
W1 0.500 0.500 0.500 x1
Au1 0.500 0.500 0.000 x1

=====

# 2
This record from Alexandria via LeMat-Bulk describes a relaxed Tl4InPb crystal. The functional is PBE.

Results
* offset from the most stable computed form: 100 meV/atom
* Fermi-level density of states: 0.255 states/eV/atom
* V: 31.9 Å³/atom
* uncorrected energy: -61.07 eV for the cell shown
* ΔH_f (0 K): 108 meV per atom

a = 9.151 Å, b = 9.151 Å, c = 9.151 Å
α = 90.00°, β = 90.00°, γ = 90.00°
Space group F-43m (No. 216)
Asymmetric unit:
Tl1 0.125 0.125 0.125 x16
In1 0.250 0.250 0.750 x4
Pb1 0.000 0.000 0.500 x4

=====

# 3
This record from Alexandria via LeMat-Bulk describes a relaxed PaAl4Ir5 crystal. The functional is PBE.

Results
* Fermi-level density of states: 0.435 states/eV/atom
* V: 14.9 Å³/atom
* uncorrected energy: -77.83 eV for the cell shown
* ΔH_f (0 K): -906 meV per atom

a = 3.013 Å, b = 3.013 Å, c = 16.435 Å
α = 90.00°, β = 90.00°, γ = 90.00°
Space group P4/mmm (No. 123)
Asymmetric unit:
Pa1 0.000 0.000 0.000 x1
Al1 0.000 0.000 0.220 x2
Al2 0.000 0.000 0.407 x2
Ir1 0.500 0.500 0.130 x2
Ir2 0.500 0.500 0.316 x2
Ir3 0.500 0.500 0.500 x1

=====

# 4
This record from Alexandria via LeMat-Bulk describes a relaxed Tb5Sm2Tm3 crystal. The functional is PBE.

Results
* offset from the most stable computed form: 0 meV/atom
* Fermi-level density of states: 1.820 states/eV/atom
* V: 32.7 Å³/atom
* uncorrected energy: -176.08 eV for the cell shown
* ΔH_f (0 K): 198 meV per atom

a = 10.653 Å, b = 15.789 Å, c = 9.400 Å
α = 90.00°, β = 124.05°, γ = 90.00°
Space group C2/c (No. 15)
Asymmetric unit:
Tb1 0.000 0.031 0.250 x4
Tb2 0.000 0.228 0.250 x4
Tb3 0.000 0.268 0.750 x4
Tb4 0.231 0.115 0.716 x8
Sm1 0.141 0.376 0.547 x8
Tm1 0.000 0.475 0.750 x4
Tm2 0.158 0.119 0.047 x8

=====

- Fermi-level density of states of number 2 (Tl4InPb)?
  0.255 states/eV/atom

=====

- Which of these has the highest ΔH_f (0 K)?
  CaPd2WAu

=====

- ΔH_f (0 K) of number 3 (PaAl4Ir5)?
  -906 meV per atom

=====

Copy entry 4 word for word.
This record from Alexandria via LeMat-Bulk describes a relaxed Tb5Sm2Tm3 crystal. The functional is PBE.

Results
* offset from the most stable computed form: 0 meV/atom
* Fermi-level density of states: 1.820 states/eV/atom
* V: 32.7 Å³/atom
* uncorrected energy: -176.08 eV for the cell shown
* ΔH_f (0 K): 198 meV per atom

a = 10.653 Å, b = 15.789 Å, c = 9.400 Å
α = 90.00°, β = 124.05°, γ = 90.00°
Space group C2/c (No. 15)
Asymmetric unit:
Tb1 0.000 0.031 0.250 x4
Tb2 0.000 0.228 0.250 x4
Tb3 0.000 0.268 0.750 x4
Tb4 0.231 0.115 0.716 x8
Sm1 0.141 0.376 0.547 x8
Tm1 0.000 0.475 0.750 x4
Tm2 0.158 0.119 0.047 x8